Entry 1:
VASP calculation (GGA-PBE) on a relaxed Tm4SbPd crystal.

a b c (Å): 6.010 6.476 8.652
angles (deg): 90.00 110.09 90.00
Fractional coordinates of all 12 atoms:
Tm 0.570 0.250 0.392
Tm 0.430 0.750 0.608
Tm 0.609 0.250 0.901
Tm 0.391 0.750 0.099
Tm 0.002 0.000 0.291
Tm 0.998 0.500 0.709
Tm 0.002 0.500 0.291
Tm 0.998 0.000 0.709
Sb 0.195 0.250 0.042
Sb 0.805 0.750 0.958
Pd 0.275 0.250 0.574
Pd 0.725 0.750 0.426

Output
* raw total energy: -62.25 eV per cell
* formation energy from raw total energies: -0.6543 eV per atom
* magnetization: 0.00 μB/atom
* DOS(E_F): 10.54 states/eV per cell

=====

Entry 2:
VASP calculation (GGA-PBE) on a relaxed TmSbPd2 crystal.

a b c (Å): 4.072 4.388 4.388
angles (deg): 90.00 90.00 90.00
Fractional coordinates of all 4 atoms:
Sb 0.500 0.500 0.500
Tm 0.500 0.000 0.000
Pd 0.000 0.000 0.500
Pd 0.000 0.500 0.000

Output
* raw total energy: -22.11 eV per cell
* formation energy from raw total energies: -0.7820 eV per atom
* magnetization: 0.00 μB/atom
* DOS(E_F): 2.32 states/eV per cell

=====

Entry 3:
VASP calculation (GGA-PBE) on a relaxed USbPd5 crystal.

a b c (Å): 9.301 5.306 6.009
angles (deg): 116.20 140.71 90.00
Fractional coordinates of all 7 atoms:
U 0.703 0.500 0.000
Sb 0.485 0.000 0.000
Pd 0.201 0.244 0.487
Pd 0.975 0.500 0.000
Pd 0.714 0.756 0.513
Pd 0.226 0.247 0.000
Pd 0.226 0.753 0.000

Output
* raw total energy: -43.09 eV per cell
* formation energy from raw total energies: -0.2451 eV per atom
* magnetization: 0.26 μB/atom
* DOS(E_F): 8.50 states/eV per cell

=====

Entry 4:
VASP calculation (GGA-PBE) on a relaxed U2Sb3Pd8 crystal.

a b c (Å): 5.376 5.376 10.910
angles (deg): 75.74 75.74 60.00
Fractional coordinates of all 13 atoms:
U 0.633 0.633 0.101
U 0.367 0.367 0.899
Sb 0.000 0.000 0.000
Sb 0.807 0.807 0.578
Sb 0.193 0.193 0.422
Pd 0.721 0.721 0.837
Pd 0.279 0.279 0.163
Pd 0.223 0.729 0.320
Pd 0.729 0.223 0.320
Pd 0.729 0.729 0.320
Pd 0.271 0.777 0.680
Pd 0.777 0.271 0.680
Pd 0.271 0.271 0.680

Output
* raw total energy: -79.09 eV per cell
* formation energy from raw total energies: -0.2004 eV per atom
* magnetization: 0.32 μB/atom
* DOS(E_F): 20.80 states/eV per cell

=====

Entry 5:
VASP calculation (GGA-PBE) on a relaxed U2SbPd7 crystal.

a b c (Å): 4.218 8.063 8.063
angles (deg): 125.75 90.00 90.00
Fractional coordinates of all 10 atoms:
U 0.500 0.691 0.309
U 0.500 0.309 0.691
Sb 0.000 0.000 0.000
Pd 0.000 0.809 0.191
Pd 0.000 0.191 0.809
Pd 0.500 0.083 0.291
Pd 0.500 0.917 0.709
Pd 0.500 0.291 0.083
Pd 0.500 0.709 0.917
Pd 0.500 0.500 0.500

Output
* raw total energy: -62.45 eV per cell
* formation energy from raw total energies: 0.0598 eV per atom
* magnetization: 0.45 μB/atom
* DOS(E_F): 18.23 states/eV per cell

=====

Entry 6:
VASP calculation (GGA-PBE) on a relaxed U2SbPd9 crystal.

a b c (Å): 4.134 4.134 12.257
angles (deg): 90.00 90.00 90.00
Fractional coordinates of all 12 atoms:
U 0.000 0.000 0.329
U 0.000 0.000 0.671
Sb 0.000 0.000 0.000
Pd 0.500 0.500 0.000
Pd 0.500 0.500 0.332
Pd 0.500 0.500 0.668
Pd 0.500 0.000 0.167
Pd 0.500 0.000 0.500
Pd 0.500 0.000 0.833
Pd 0.000 0.500 0.167
Pd 0.000 0.500 0.500
Pd 0.000 0.500 0.833

Output
* raw total energy: -79.05 eV per cell
* formation energy from raw total energies: -0.4679 eV per atom
* magnetization: 0.34 μB/atom
* DOS(E_F): 17.15 states/eV per cell

=====

Entry 7:
VASP calculation (GGA-PBE) on a relaxed U2SbPd6 crystal.

a b c (Å): 6.122 5.708 5.708
angles (deg): 60.01 89.95 89.95
Fractional coordinates of all 9 atoms:
U 0.812 0.667 0.667
U 0.188 0.333 0.333
Sb 0.000 0.000 0.000
Pd 0.325 0.353 0.826
Pd 0.324 0.824 0.824
Pd 0.325 0.826 0.353
Pd 0.675 0.647 0.174
Pd 0.676 0.176 0.176
Pd 0.675 0.174 0.647

Output
* raw total energy: -61.45 eV per cell
* formation energy from raw total energies: -0.3994 eV per atom
* magnetization: 0.50 μB/atom
* DOS(E_F): 15.14 states/eV per cell

=====

Entry 8:
VASP calculation (GGA-PBE) on a relaxed USbPd3 crystal.

a b c (Å): 4.707 5.798 8.333
angles (deg): 69.49 73.59 66.05
Fractional coordinates of all 10 atoms:
U 0.446 0.730 0.379
U 0.554 0.270 0.621
Sb 0.101 0.690 0.107
Sb 0.899 0.310 0.893
Pd 0.853 0.698 0.597
Pd 0.147 0.302 0.403
Pd 0.638 0.794 0.930
Pd 0.362 0.206 0.070
Pd 0.803 0.113 0.281
Pd 0.197 0.887 0.719

Output
* raw total energy: -65.75 eV per cell
* formation energy from raw total energies: -0.3770 eV per atom
* magnetization: 0.43 μB/atom
* DOS(E_F): 11.60 states/eV per cell

=====

Entry 9:
VASP calculation (GGA-PBE) on a relaxed USb4Pd15 crystal.

a b c (Å): 4.094 4.094 20.188
angles (deg): 90.00 90.00 90.00
Fractional coordinates of all 20 atoms:
U 0.000 0.000 0.000
Sb 0.000 0.000 0.205
Sb 0.000 0.000 0.401
Sb 0.000 0.000 0.599
Sb 0.000 0.000 0.795
Pd 0.500 0.500 0.000
Pd 0.500 0.500 0.201
Pd 0.500 0.500 0.400
Pd 0.500 0.500 0.600
Pd 0.500 0.500 0.799
Pd 0.500 0.000 0.100
Pd 0.500 0.000 0.302
Pd 0.500 0.000 0.500
Pd 0.500 0.000 0.698
Pd 0.500 0.000 0.900
Pd 0.000 0.500 0.100
Pd 0.000 0.500 0.302
Pd 0.000 0.500 0.500
Pd 0.000 0.500 0.698
Pd 0.000 0.500 0.900

Output
* raw total energy: -113.62 eV per cell
* formation energy from raw total energies: -0.3976 eV per atom
* magnetization: 0.10 μB/atom
* DOS(E_F): 20.11 states/eV per cell

=====

Entry 10:
VASP calculation (GGA-PBE) on a relaxed USbPd4 crystal.

a b c (Å): 5.391 5.391 5.391
angles (deg): 60.00 60.00 60.00
Fractional coordinates of all 6 atoms:
Sb 0.000 0.000 0.000
U 0.250 0.250 0.250
Pd 0.625 0.625 0.126
Pd 0.625 0.126 0.625
Pd 0.625 0.625 0.625
Pd 0.126 0.625 0.625

Output
* raw total energy: -38.30 eV per cell
* formation energy from raw total energies: -0.3526 eV per atom
* magnetization: 0.30 μB/atom
* DOS(E_F): 10.42 states/eV per cell

=====

Entry 11:
VASP calculation (GGA-PBE) on a relaxed USb2Pd2 crystal.

a b c (Å): 7.448 7.448 6.843
angles (deg): 123.04 123.04 91.79
Fractional coordinates of all 10 atoms:
U 0.105 0.895 0.250
U 0.895 0.105 0.750
Sb 0.394 0.606 0.250
Sb 0.811 0.189 0.250
Sb 0.189 0.811 0.750
Sb 0.606 0.394 0.750
Pd 0.792 0.590 0.613
Pd 0.410 0.208 0.887
Pd 0.590 0.792 0.113
Pd 0.208 0.410 0.387

Output
* raw total energy: -62.40 eV per cell
* formation energy from raw total energies: -0.2566 eV per atom
* magnetization: 0.43 μB/atom
* DOS(E_F): 16.16 states/eV per cell